# 1
ZnTePO | PBE-GGA | relaxed

Cell lengths 3.478, 7.133, 6.793 Å; angles 90.00, 90.00, 90.00 degrees
Space group Pmc2_1 (No. 26)
Inequivalent atoms, fractional coordinates:
Zn 0.000 0.193 0.000
Te 0.500 0.333 0.506
P 0.000 0.131 0.361
O 0.500 0.281 0.931

Offset from the most stable computed form   0.25 eV/f.u.

***

# 2
GdMgCuSe3 | PBE-GGA | relaxed

Cell lengths 3.870, 12.839, 10.734 Å; angles 90.00, 90.00, 90.00 degrees
Space group Cmcm (No. 63)
Inequivalent atoms, fractional coordinates:
Gd 0.000 0.000 0.000
Mg 0.000 0.231 0.250
Cu 0.000 0.478 0.750
Se 0.000 0.101 0.750
Se 0.000 0.350 0.582

Offset from the most stable computed form   0.00 eV/f.u.
Magnetization   0.0 μB per formula unit

***

# 3
ScCuBiOs | PBE-GGA | relaxed

Cell lengths 6.636, 6.636, 6.636 Å; angles 90.00, 90.00, 90.00 degrees
Space group F-43m (No. 216)
Inequivalent atoms, fractional coordinates:
Sc 0.000 0.000 0.000
Cu 0.000 0.000 0.500
Bi 0.250 0.250 0.250
Os 0.250 0.250 0.750

Offset from the most stable computed form   0.84 eV/f.u.
Magnetization   0.0 μB per formula unit

***

# 4
YNi2Te | PBE-GGA | relaxed

Cell lengths 4.171, 6.212, 5.531 Å; angles 90.00, 90.00, 90.00 degrees
Space group Pmn2_1 (No. 31)
Inequivalent atoms, fractional coordinates:
Y 0.000 0.087 0.000
Ni 0.000 0.255 0.501
Ni 0.000 0.660 0.265
Te 0.000 0.612 0.771

Calculated total energy   -5.65 eV per atom
Magnetization   0.0 μB per formula unit

***

# 5
PmP2Pd4 | PBE-GGA | relaxed

Cell lengths 7.722, 7.722, 3.888 Å; angles 90.00, 90.00, 90.00 degrees
Space group P4_2/mnm (No. 136)
Inequivalent atoms, fractional coordinates:
Pm 0.000 0.000 0.000
P 0.222 0.222 0.500
Pd 0.082 0.670 0.500

Calculated total energy   -6.01 eV per atom
Magnetization   0.0 μB per formula unit

***

# 6
CuSe2I6 | PBE-GGA | relaxed

Cell lengths 4.948, 7.670, 9.904 Å; angles 104.79, 96.90, 94.22 degrees
Space group P-1 (No. 2)
Inequivalent atoms, fractional coordinates:
Cu 0.000 0.000 0.000
Se 0.304 0.224 0.201
I 0.042 0.508 0.201
I 0.268 0.188 0.451
I 0.317 0.149 0.862

Calculated total energy   -2.21 eV per atom

***

# 7
HfScSbC | PBE-GGA | relaxed

Cell lengths 3.4068, 3.4068, 14.1284 Å; angles 90.00, 90.00, 120.00 degrees
Space group P-3m1 (No. 164)
Inequivalent atoms, fractional coordinates:
Hf 0.3333 0.6667 0.4155
Sc 0.3333 0.6667 0.0847
Sb 0.3333 0.6667 0.7483
C 0.0000 0.0000 0.0000
C 0.0000 0.0000 0.5000

Offset from the most stable computed form   0.07 eV/f.u.
Magnetization   0.0 μB per formula unit

***

# 8
CoAsPb | PBE-GGA | relaxed

Cell lengths 6.164, 6.164, 6.164 Å; angles 90.00, 90.00, 90.00 degrees
Space group F-43m (No. 216)
Inequivalent atoms, fractional coordinates:
Co 0.000 0.000 0.000
As 0.250 0.250 0.750
Pb 0.250 0.250 0.250

Offset from the most stable computed form   0.00 eV/f.u.
Magnetization   0.0 μB per formula unit

***

# 9
CuSeS | PBE-GGA | relaxed

Cell lengths 5.648, 3.790, 5.818 Å; angles 90.00, 93.09, 90.00 degrees
Space group P2/m (No. 10)
Inequivalent atoms, fractional coordinates:
Cu 0.000 0.000 0.000
Cu 0.500 0.500 0.500
Se 0.168 0.500 0.842
S 0.348 0.000 0.348

Offset from the most stable computed form   0.79 eV/f.u.

***

# 10
FeSi17Ge14 | PBE-GGA | relaxed

Cell lengths 5.574, 3.936, 31.406 Å; angles 90.00, 90.04, 90.00 degrees
Space group Pm (No. 6)
Inequivalent atoms, fractional coordinates:
Fe 0.000 0.000 0.000
Si 0.003 0.000 0.627
Si 0.245 0.500 0.627
Si 0.253 0.500 0.125
Si 0.254 0.500 0.377
Si 0.501 0.500 0.186
Si 0.503 0.500 0.686
Si 0.504 0.500 0.437
Si 0.505 0.500 0.940
Si 0.742 0.000 0.187
Si 0.743 0.000 0.438
Si 0.745 0.000 0.687
Si 0.748 0.000 0.943
Si 0.755 0.000 0.812
Si 0.759 0.000 0.058
Si 0.991 0.000 0.749
Si 0.992 0.000 0.248
Si 0.992 0.000 0.499
Ge 0.004 0.000 0.377
Ge 0.225 0.500 0.999
Ge 0.242 0.500 0.248
Ge 0.243 0.500 0.499
Ge 0.243 0.500 0.748
Ge 0.256 0.500 0.877
Ge 0.492 0.500 0.313
Ge 0.492 0.500 0.564
Ge 0.502 0.500 0.062
Ge 0.504 0.500 0.812
Ge 0.754 0.000 0.312
Ge 0.756 0.000 0.564
Ge 0.989 0.000 0.877
Ge 0.999 0.000 0.124

Calculated total energy   -5.09 eV per atom
Magnetization   1.0 μB per formula unit

***

# 11
Ta3Co5B2 | PBE-GGA | relaxed

Cell lengths 8.428, 8.428, 3.235 Å; angles 90.00, 90.00, 90.00 degrees
Space group P4/mbm (No. 127)
Inequivalent atoms, fractional coordinates:
Ta 0.000 0.000 0.000
Ta 0.174 0.326 0.000
Co 0.000 0.500 0.500
Co 0.070 0.779 0.500
B 0.119 0.619 0.000

Calculated total energy   -8.83 eV per atom
Magnetization   0.2 μB per formula unit

***

# 12
SrZnSeO | PBE-GGA | relaxed

Cell lengths 4.151, 4.151, 8.844 Å; angles 90.00, 90.00, 90.00 degrees
Space group P4/nmm (No. 129, origin choice 2)
Inequivalent atoms, fractional coordinates:
Sr 0.250 0.250 0.217
Zn 0.250 0.250 0.572
Se 0.250 0.250 0.852
O 0.250 0.750 0.500

Calculated total energy   -4.40 eV per atom

***

# 13
MgScBPt | PBE-GGA | relaxed

Cell lengths 6.094, 6.094, 6.094 Å; angles 90.00, 90.00, 90.00 degrees
Space group F-43m (No. 216)
Inequivalent atoms, fractional coordinates:
Mg 0.000 0.000 0.000
Sc 0.250 0.250 0.750
B 0.000 0.000 0.500
Pt 0.250 0.250 0.250

Offset from the most stable computed form   0.36 eV/f.u.
Magnetization   0.0 μB per formula unit

***

# 14
LaCu3P2 | PBE-GGA | relaxed

Cell lengths 4.0479, 4.0479, 6.7740 Å; angles 90.00, 90.00, 120.00 degrees
Space group P-3m1 (No. 164)
Inequivalent atoms, fractional coordinates:
La 0.0000 0.0000 0.0000
Cu 0.0000 0.0000 0.5000
Cu 0.3333 0.6667 0.3527
P 0.3333 0.6667 0.7300

Calculated total energy   -5.07 eV per atom
Magnetization   0.0 μB per formula unit

***

# 15
YThMo | PBE-GGA | relaxed

Cell lengths 6.902, 6.902, 6.902 Å; angles 90.00, 90.00, 90.00 degrees
Space group F-43m (No. 216)
Inequivalent atoms, fractional coordinates:
Y 0.000 0.000 0.000
Th 0.250 0.250 0.250
Mo 0.250 0.250 0.750

E_form   1.219 eV per atom
Magnetization   0.6 μB per formula unit

***

# 16
TbTaN2O | PBE-GGA | relaxed

Cell lengths 4.064, 4.064, 3.903 Å; angles 90.00, 90.00, 90.00 degrees
Space group P4/mmm (No. 123)
Inequivalent atoms, fractional coordinates:
Tb 0.000 0.000 0.000
Ta 0.500 0.500 0.500
N 0.000 0.500 0.500
O 0.500 0.500 0.000

Calculated total energy   -9.29 eV per atom
Magnetization   0.0 μB per formula unit

***

# 17
Dy3Tl2SnPdPt2 | PBE-GGA | relaxed

Cell lengths 3.820, 13.464, 7.760 Å; angles 90.00, 90.00, 90.00 degrees
Space group Amm2 (No. 38)
Inequivalent atoms, fractional coordinates:
Dy 0.000 0.000 0.000
Dy 0.000 0.205 0.391
Tl 0.500 0.131 0.727
Sn 0.500 0.000 0.331
Pd 0.000 0.000 0.579
Pt 0.500 0.163 0.101

Calculated total energy   -5.30 eV per atom
Magnetization   0.0 μB per formula unit

***

# 18
LiGaPt2 | PBE-GGA | relaxed

Cell lengths 6.188, 6.188, 6.188 Å; angles 90.00, 90.00, 90.00 degrees
Space group F-43m (No. 216)
Inequivalent atoms, fractional coordinates:
Li 0.000 0.000 0.000
Ga 0.250 0.250 0.750
Pt 0.000 0.000 0.500
Pt 0.250 0.250 0.250

Calculated total energy   -4.75 eV per atom
Magnetization   0.0 μB per formula unit

***

# 19
PrY2Cu4Ge4 | PBE-GGA | relaxed

Cell lengths 4.219, 6.759, 14.068 Å; angles 90.00, 90.00, 90.00 degrees
Space group Immm (No. 71)
Inequivalent atoms, fractional coordinates:
Pr 0.000 0.000 0.000
Y 0.000 0.500 0.130
Cu 0.000 0.311 0.332
Ge 0.000 0.000 0.219
Ge 0.000 0.187 0.500

Calculated total energy   -5.27 eV per atom
Magnetization   0.0 μB per formula unit

***

# 20
NaZrGe | PBE-GGA | relaxed

Cell lengths 6.532, 6.532, 6.532 Å; angles 90.00, 90.00, 90.00 degrees
Space group F-43m (No. 216)
Inequivalent atoms, fractional coordinates:
Na 0.000 0.000 0.000
Zr 0.000 0.000 0.500
Ge 0.250 0.250 0.250

Calculated total energy   -4.79 eV per atom
Magnetization   0.0 μB per formula unit